## CrInBr2 (PBE)

Data for a relaxed structure of CrInBr2.

abc: 8.0359 8.0359 7.3773
angles: 90.00 90.00 90.00
Last column: nearest neighbours and their distance in Å.
Element x y z (fractional)
Cr (0.0000, 0.0000, 0.0000)  4 Br 2.63
Cr (0.0000, 0.5000, 0.2500)  4 Br 2.63
Cr (0.5000, 0.0000, 0.7500)  4 Br 2.63
Cr (0.5000, 0.5000, 0.5000)  4 Br 2.63
In (0.0000, 0.0000, 0.5000)  8 Br 3.40-3.71, 2 Cr 3.69
In (0.0000, 0.5000, 0.7500)  8 Br 3.40-3.71, 2 Cr 3.69
In (0.5000, 0.0000, 0.2500)  8 Br 3.40-3.71, 2 Cr 3.69
In (0.5000, 0.5000, 0.0000)  8 Br 3.40-3.71, 2 Cr 3.69
Br (0.1777, 0.2500, 0.1250)  2 Cr 2.63
Br (0.2500, 0.6777, 0.3750)  2 Cr 2.63
Br (0.2500, 0.8223, 0.8750)  2 Cr 2.63
Br (0.3223, 0.2500, 0.6250)  2 Cr 2.63
Br (0.6777, 0.7500, 0.6250)  2 Cr 2.63
Br (0.7500, 0.1777, 0.8750)  2 Cr 2.63
Br (0.7500, 0.3223, 0.3750)  2 Cr 2.63
Br (0.8223, 0.7500, 0.1250)  2 Cr 2.63

## Properties
* DFT total energy: -4.19 eV per atom


## CrIn2Br (PBE)

Data for a relaxed structure of CrIn2Br.

abc: 9.3561 9.3561 5.2759
angles: 90.00 90.00 90.00
Last column: nearest neighbours and their distance in Å.
Element x y z (fractional)
Cr (0.0000, 0.0000, 0.0000)  2 Br 2.64, 4 In 2.88
Cr (0.0000, 0.5000, 0.2500)  2 Br 2.64, 4 In 2.88
Cr (0.5000, 0.0000, 0.7500)  2 Br 2.64, 4 In 2.88
Cr (0.5000, 0.5000, 0.5000)  2 Br 2.64, 4 In 2.88
In (0.1652, 0.2500, 0.1250)  2 Cr 2.88, 2 In 3.08
In (0.2500, 0.6652, 0.3750)  2 Cr 2.88, 2 In 3.08
In (0.2500, 0.8348, 0.8750)  2 Cr 2.88, 2 In 3.08
In (0.3348, 0.2500, 0.6250)  2 Cr 2.88, 2 In 3.08
In (0.6652, 0.7500, 0.6250)  2 Cr 2.88, 2 In 3.08
In (0.7500, 0.1652, 0.8750)  2 Cr 2.88, 2 In 3.08
In (0.7500, 0.3348, 0.3750)  2 Cr 2.88, 2 In 3.08
In (0.8348, 0.7500, 0.1250)  2 Cr 2.88, 2 In 3.08
Br (0.0000, 0.0000, 0.5000)  2 Cr 2.64
Br (0.0000, 0.5000, 0.7500)  2 Cr 2.64
Br (0.5000, 0.0000, 0.2500)  2 Cr 2.64
Br (0.5000, 0.5000, 0.0000)  2 Cr 2.64

## Properties
* DFT total energy: -3.93 eV per atom


| no. | M_tot (μB per atom) | E_form (uncorrected) (eV/f.u.) |
| --- | --- | --- |
| 1 | 1.25 | -1.04 |
| 2 | 1.11 | 1.05 |